P | NiH2O2 after structural relaxation. Source: Alexandria via LeMat-Bulk, functional GGA+U.

Its magnetic moment is 2.0 Bohr magnetons per cell.

abc: 3.150 3.150 6.309
angles: 75.54 75.54 60.00
Each line ends with the local moment (μB).
Fractional positions:
Ni1 0.000 0.000 0.000  1.79
H1 0.557 0.557 0.328  0.00
H2 0.443 0.443 0.672  0.00
O1 0.611 0.611 0.168  0.09
O2 0.389 0.389 0.832  0.09

Q | NiH2O2 after structural relaxation. Source: Alexandria via LeMat-Bulk, functional GGA+U.

Its magnetic moment is 1.9 Bohr magnetons per cell.

abc: 5.372 5.372 2.408
angles: 90.00 90.00 90.00
Each line ends with the local moment (μB).
Fractional positions:
Ni1 0.000 0.000 0.000  1.16
Ni2 0.500 0.500 0.000  1.15
O1 0.181 0.681 0.000  -0.09
O2 0.681 0.819 0.000  -0.09
O3 0.819 0.319 0.000  -0.08
O4 0.319 0.181 0.000  -0.09
H1 0.145 0.645 0.500  0.00
H2 0.645 0.855 0.500  0.00
H3 0.855 0.355 0.500  0.00
H4 0.355 0.145 0.500  0.00

P comes first in stability; the runner-up is 0.527 eV/atom higher.

P | NiH2O2 after structural relaxation. Source: Alexandria via LeMat-Bulk, functional GGA+U.

Its magnetic moment is 2.0 Bohr magnetons per cell.

abc: 3.161 3.163 4.608
angles: 90.00 90.08 120.02
Each line ends with the local moment (μB).
Fractional positions:
Ni1 0.000 0.938 0.000  1.79
H1 0.666 0.268 0.567  0.00
H2 0.334 0.602 0.433  0.00
O1 0.666 0.270 0.779  0.09
O2 0.334 0.604 0.221  0.09

Q | NiH2O2 after structural relaxation. Source: Alexandria via LeMat-Bulk, functional GGA+U.

Its magnetic moment is 2.0 Bohr magnetons per cell.

abc: 3.366 3.366 4.405
angles: 90.00 90.00 120.00
Each line ends with the local moment (μB).
Fractional positions:
Ni1 0.333 0.667 0.986  1.77
H1 0.000 0.000 0.019  0.00
H2 0.667 0.333 0.428  0.00
O1 0.000 0.000 0.794  0.10
O2 0.667 0.333 0.207  0.10

P comes first in stability; the runner-up is 0.232 eV/atom higher.

P | NiPHO2 after structural relaxation. Source: Alexandria via LeMat-Bulk, functional GGA+U.

Its magnetic moment is 0.8 Bohr magnetons per cell.

abc: 3.507 3.507 4.780
angles: 90.00 90.00 90.00
Each line ends with the local moment (μB).
Fractional positions:
Ni1 0.000 0.000 0.000  -0.12
H1 0.500 0.500 0.500  -0.02
O1 0.000 0.500 0.000  0.39
O2 0.500 0.000 0.000  0.39
P1 0.000 0.000 0.500  0.06

Q | NiPHO2 after structural relaxation. Source: Alexandria via LeMat-Bulk, functional GGA+U.

Its magnetic moment is 1.9 Bohr magnetons per cell.

abc: 3.987 3.987 2.889
angles: 90.00 90.00 90.00
Each line ends with the local moment (μB).
Fractional positions:
Ni1 0.500 0.500 0.500  1.69
H1 0.000 0.000 0.000  0.00
O1 0.000 0.500 0.000  0.11
O2 0.500 0.000 0.000  0.11
P1 0.000 0.000 0.500  0.00

Q comes first in stability; the runner-up is 0.159 eV/atom higher.

P | NiH2SeO5 after structural relaxation. Source: Alexandria via LeMat-Bulk, functional GGA+U.

Its magnetic moment is 4.0 Bohr magnetons per cell.

abc: 5.362 5.362 7.649
angles: 106.90 106.90 99.04
Each line ends with the local moment (μB).
Fractional positions:
Ni1 0.000 0.500 0.000  1.79
Ni2 0.500 0.000 0.500  1.79
H1 0.136 0.030 0.203  0.00
H2 0.970 0.864 0.297  0.00
H3 0.864 0.970 0.797  0.00
H4 0.030 0.136 0.703  0.00
Se1 0.417 0.583 0.750  0.01
Se2 0.583 0.417 0.250  0.01
O1 0.874 0.126 0.750  0.05
O2 0.126 0.874 0.250  0.05
O3 0.312 0.707 0.574  0.03
O4 0.293 0.688 0.926  0.03
O5 0.688 0.293 0.426  0.03
O6 0.707 0.312 0.074  0.03
O7 0.758 0.687 0.846  0.02
O8 0.313 0.242 0.654  0.02
O9 0.242 0.313 0.154  0.02
O10 0.687 0.758 0.346  0.02

Q | NiH2SeO5 after structural relaxation. Source: Alexandria via LeMat-Bulk, functional GGA+U.

Its magnetic moment is 3.9 Bohr magnetons per cell.

abc: 5.170 5.170 7.940
angles: 71.80 71.80 87.56
Each line ends with the local moment (μB).
Fractional positions:
Ni1 0.000 0.000 0.000  1.79
Ni2 0.000 0.000 0.500  1.79
H1 0.272 0.505 0.500  0.00
H2 0.495 0.728 0.000  0.00
H3 0.505 0.272 0.000  0.00
H4 0.728 0.495 0.500  0.00
Se1 0.688 0.312 0.250  0.01
Se2 0.312 0.688 0.750  0.01
O1 0.932 0.068 0.250  0.04
O2 0.068 0.932 0.750  0.04
O3 0.819 0.362 0.435  0.03
O4 0.638 0.181 0.065  0.03
O5 0.362 0.819 0.935  0.03
O6 0.181 0.638 0.565  0.03
O7 0.362 0.258 0.388  0.02
O8 0.742 0.638 0.112  0.02
O9 0.258 0.362 0.888  0.02
O10 0.638 0.742 0.612  0.02

P comes first in stability; the runner-up is 0.121 eV/atom higher.